# 1
Computed, not measured: a relaxed structure of BaTaAg at the GGA-PBE level of DFT.

Results
formation enthalpy at 0 K: 0.528 eV/atom
space-group type: No. 8
ΔE to the lowest computed polymorph: 0.1979 eV/atom
magnetization: 0.00 Bohr magnetons per cell

```
BaTaAg
1.0
-5.801 0.535 0.128
-1.603 -8.663 2.046
1.147 0.544 3.208
Ag Ta Ba
2 2 2
direct
0.190 0.810 0.098
0.603 0.362 0.305
0.486 0.612 0.745
0.846 0.667 0.427
0.625 0.999 0.816
0.071 0.337 0.039
```



# 2
Computed, not measured: a relaxed structure of BaTaAg3 at the GGA-PBE level of DFT.

Results
formation enthalpy at 0 K: 1.970 eV/atom
space-group type: No. 221
ΔE to the lowest computed polymorph: 1.3147 eV/atom
magnetization: 3.24 Bohr magnetons per cell

```
BaTaAg3
1.0
5.638 0.000 0.000
0.000 5.638 0.000
0.000 0.000 5.638
Ba Ag Ta
1 3 1
direct
0.000 0.000 0.000
0.000 0.500 0.000
0.500 0.000 0.000
0.000 0.000 0.500
0.500 0.500 0.500
```



# 3
Computed, not measured: a relaxed structure of BaTa2Ag at the GGA-PBE level of DFT.

Results
formation enthalpy at 0 K: 0.729 eV/atom
space-group type: No. 1
ΔE to the lowest computed polymorph: 0.2300 eV/atom
magnetization: 0.00 Bohr magnetons per cell

```
BaTa2Ag
1.0
-4.665 -1.897 0.332
-3.342 -0.981 -7.268
5.241 -1.253 6.015
Ag Ta Ba
1 2 1
direct
0.495 0.522 0.962
0.674 0.243 0.435
0.072 0.968 0.098
0.259 0.767 0.505
```



# 4
Computed, not measured: a relaxed structure of BaTa2Ag at the GGA-PBE level of DFT.

Results
formation enthalpy at 0 K: 0.964 eV/atom
space-group type: No. 12
ΔE to the lowest computed polymorph: 0.4652 eV/atom
magnetization: 0.00 Bohr magnetons per cell

```
BaTa2Ag
1.0
6.511 -0.001 -0.002
-3.738 5.331 -0.002
0.673 1.294 2.666
Ta Ag Ba
2 1 1
direct
0.000 0.000 0.000
0.500 0.500 0.000
0.500 0.000 0.500
0.000 0.500 0.500
```



# 5
Computed, not measured: a relaxed structure of BaTaAg at the GGA-PBE level of DFT.

Results
formation enthalpy at 0 K: 0.330 eV/atom
space-group type: No. 5
ΔE to the lowest computed polymorph: 0.0000 eV/atom
magnetization: 0.00 Bohr magnetons per cell

```
BaTaAg
1.0
3.491 -0.008 0.006
-1.725 13.547 -0.058
-0.003 -0.438 3.463
Ta Ag Ba
2 2 2
direct
0.302 0.581 0.934
0.852 0.681 0.484
0.739 0.456 0.371
0.415 0.806 0.047
0.007 0.989 0.638
0.146 0.273 0.777
```



# 6
Computed, not measured: a relaxed structure of BaTaAg2 at the GGA-PBE level of DFT.

Results
formation enthalpy at 0 K: 0.583 eV/atom
space-group type: No. 6
ΔE to the lowest computed polymorph: 0.1568 eV/atom
magnetization: 0.00 Bohr magnetons per cell

```
BaTaAg2
1.0
-4.703 -0.400 -0.448
0.250 -3.052 0.103
-0.538 -1.369 6.878
Ag Ba Ta
2 1 1
direct
0.500 0.083 0.208
0.000 0.207 0.966
0.000 0.448 0.475
0.500 0.762 0.852
```



# 7
Computed, not measured: a relaxed structure of BaTa2Ag at the GGA-PBE level of DFT.

Results
formation enthalpy at 0 K: 0.597 eV/atom
space-group type: No. 99
ΔE to the lowest computed polymorph: 0.0986 eV/atom
magnetization: 0.00 Bohr magnetons per cell

```
BaTa2Ag
1.0
-1.026 -2.666 1.015
2.219 -0.068 2.064
-5.911 4.753 6.510
Ba Ta Ag
1 2 1
direct
0.500 0.500 0.738
0.000 0.000 0.049
0.500 0.500 0.255
0.000 0.000 0.458
```



# 8
Computed, not measured: a relaxed structure of BaTa3Ag at the GGA-PBE level of DFT.

Results
formation enthalpy at 0 K: 1.903 eV/atom
space-group type: No. 221
ΔE to the lowest computed polymorph: 0.0000 eV/atom
magnetization: 2.81 Bohr magnetons per cell

```
BaTa3Ag
1.0
-4.838 -0.655 -1.577
1.668 -2.836 -3.937
-0.369 -4.225 2.887
Ba Ta Ag
1 3 1
direct
0.500 0.500 0.500
0.000 0.000 0.500
0.500 0.000 0.000
0.000 0.500 0.000
0.000 0.000 0.000
```



> Which of these has the highest formation enthalpy at 0 K?

BaTaAg3



What did the eighth record say?
Computed, not measured: a relaxed structure of BaTa3Ag at the GGA-PBE level of DFT.

Results
formation enthalpy at 0 K: 1.903 eV/atom
space-group type: No. 221
ΔE to the lowest computed polymorph: 0.0000 eV/atom
magnetization: 2.81 Bohr magnetons per cell

```
BaTa3Ag
1.0
-4.838 -0.655 -1.577
1.668 -2.836 -3.937
-0.369 -4.225 2.887
Ba Ta Ag
1 3 1
direct
0.500 0.500 0.500
0.000 0.000 0.500
0.500 0.000 0.000
0.000 0.500 0.000
0.000 0.000 0.000
```